Na2UNiF8 | PBE+U | optimized geometry

Structure (extended XYZ):
```
12
Lattice="3.841 -0.103 0.018 -0.066 5.418 -0.189 0.029 -0.206 8.039" Properties=species:S:1:pos:R:3 pbc="T T T"
F 1.902 1.049 3.573
F 1.903 4.061 4.295
Na 1.872 2.703 6.240
F 3.752 0.693 1.837
F 2.198 4.130 0.139
F 0.053 3.633 2.465
F 1.607 0.980 7.729
F 3.751 1.477 5.403
U 0.015 -0.103 4.020
F 0.052 4.417 6.031
Na 1.932 2.406 1.628
Ni 0.000 0.000 0.000
```

Results
Total magnetization = 4.0 μB/f.u.
Crystal system = triclinic
Density of states at the Fermi level = 2.9 states/eV/f.u.
Space group = P-1
Final energy = -5.551 eV/atom